Model i:
Computed, not measured: a relaxed structure of YScW at the PBE level of DFT.

Values from the calculation:
Magnetic moment   0.000 μB per atom
Theoretical density   7.5 g cm⁻³

Cell lengths 5.6040, 7.4816, 6.7525 Å; angles 90.00, 90.00, 90.00 degrees
With the nearest neighbours (Å) after each atom.
Space group Ima2 (No. 46)
Asymmetric unit:
Y (0.2500, 0.1597, 0.0000) x4  4 W 3.04-3.10, 3 Sc 3.26-3.39
Sc (0.2500, 0.6930, 0.1846) x4  4 W 2.92-2.97, 2 Y 3.26
W (0.0000, 0.0000, 0.3702) x4  2 W 2.80, 4 Sc 2.92-2.97, 4 Y 3.04-3.10



Model ii:
Computed, not measured: a relaxed structure of YScW at the PBE level of DFT.

Values from the calculation:
Magnetic moment   0.000 μB per atom
Theoretical density   6.9 g cm⁻³

Cell lengths 6.7304, 6.7304, 6.7304 Å; angles 90.00, 90.00, 90.00 degrees
With the nearest neighbours (Å) after each atom.
Space group F-43m (No. 216)
Asymmetric unit:
Y (0.0000, 0.0000, 0.0000) x4  4 W 2.91
Sc (0.0000, 0.0000, 0.5000) x4  4 W 2.91
W (0.2500, 0.2500, 0.7500) x4  4 Sc 2.91, 4 Y 2.91



Going by the energies, model i is most stable and the next is 590 meV per atom up.



Model i:
Computed, not measured: a relaxed structure of YScW at the PBE level of DFT.

Values from the calculation:
Magnetic moment   0.000 μB per atom
Theoretical density   7.7 g cm⁻³

Cell lengths 4.1032, 4.4945, 14.8054 Å; angles 90.00, 90.00, 90.00 degrees
With the nearest neighbours (Å) after each atom.
Space group Fmm2 (No. 42)
Asymmetric unit:
Y (0.0000, 0.0000, 0.0000) x4  4 Y 3.04, 4 W 3.07-3.20
Sc (0.0000, 0.0000, 0.2918) x4  4 W 2.89-3.04, 4 Sc 3.04
W (0.0000, 0.0000, 0.6539) x4  4 Sc 2.89-3.04, 4 W 3.04, 4 Y 3.07-3.20



Model ii:
Computed, not measured: a relaxed structure of YScW at the PBE level of DFT.

Values from the calculation:
Magnetic moment   0.000 μB per atom
Theoretical density   8.0 g cm⁻³

Cell lengths 4.9641, 4.9641, 3.0931 Å; angles 90.00, 90.00, 120.00 degrees
With the nearest neighbours (Å) after each atom.
Space group P-6m2 (No. 187)
Asymmetric unit:
Y (0.0000, 0.0000, 0.0000) x1  2 Y 3.09, 6 W 3.26, 6 Sc 3.26
Sc (0.6667, 0.3333, 0.5000) x1  3 W 2.87, 2 Sc 3.09
W (0.3333, 0.6667, 0.5000) x1  3 Sc 2.87, 2 W 3.09



Going by the energies, model ii is most stable and the next is 32 meV per atom up.